(1)
The following is a meta-GGA SCAN calculation of a PBEsol-optimized structure of BaLaAu, from Alexandria.

Cell: 3.8789 3.8789 13.8889 Å, 90.00 90.00 90.00°
Space group I4mm (No. 107)
Symmetry-distinct sites (fractional):
Ba (0.0000, 0.0000, 0.0000) (multiplicity 2)
La (0.0000, 0.0000, 0.7426) (multiplicity 2)
Au (0.0000, 0.0000, 0.3420) (multiplicity 2)

Output
Total magnetic moment: 0.02 μB/f.u.
ΔH_f (0 K): -0.621 eV/atom


(2)
The following is a meta-GGA SCAN calculation of a PBEsol-optimized structure of TcNi2Au, from Alexandria.

Cell: 8.7717 2.6372 4.5293 Å, 90.00 101.08 90.00°
Space group Cm (No. 8)
Symmetry-distinct sites (fractional):
Tc (0.0000, 0.0000, 0.0000) (multiplicity 2)
Ni (0.0173, 0.5000, 0.5375) (multiplicity 2)
Ni (0.2555, 0.0000, 0.7970) (multiplicity 2)
Au (0.2614, 0.5000, 0.2999) (multiplicity 2)

Output
Total magnetic moment: 0.01 μB/f.u.
ΔH_f (0 K): 0.204 eV/atom
Distance to the lowest polymorph of the same formula: 144.1 meV per atom


(3)
The following is a meta-GGA SCAN calculation of a PBEsol-optimized structure of Li2TaCo, from Alexandria.

Cell: 4.9274 9.7947 2.7322 Å, 90.00 121.53 90.00°
Space group C2/m (No. 12)
Symmetry-distinct sites (fractional):
Li (0.2500, 0.2500, 0.0000) (multiplicity 4)
Ta (0.0000, 0.0000, 0.5000) (multiplicity 2)
Co (0.0000, 0.5000, 0.5000) (multiplicity 2)

Output
Total magnetic moment: 0.00 μB/f.u.
ΔH_f (0 K): 0.357 eV/atom
Distance to the lowest polymorph of the same formula: 130.5 meV per atom


(4)
The following is a meta-GGA SCAN calculation of a PBEsol-optimized structure of BaLuCo4O7, from Alexandria.

Cell: 6.0800 10.5986 10.0696 Å, 90.00 90.16 90.00°
Space group Cc (No. 9)
Symmetry-distinct sites (fractional):
Ba (0.0000, 0.1642, 0.0000) (multiplicity 4)
Lu (0.4974, 0.3315, 0.8758) (multiplicity 4)
Co (0.2312, 0.0934, 0.6790) (multiplicity 4)
Co (0.2686, 0.4140, 0.1740) (multiplicity 4)
Co (0.4877, 0.1786, 0.1773) (multiplicity 4)
Co (0.4969, 0.0021, 0.4155) (multiplicity 4)
O (0.0019, 0.0071, 0.2439) (multiplicity 4)
O (0.2184, 0.2496, 0.2316) (multiplicity 4)
O (0.2254, 0.2496, 0.7658) (multiplicity 4)
O (0.2581, 0.4372, 0.9906) (multiplicity 4)
O (0.2752, 0.1006, 0.4940) (multiplicity 4)
O (0.4806, 0.1587, 0.9930) (multiplicity 4)
O (0.4967, 0.0003, 0.2345) (multiplicity 4)

Output
Total magnetic moment: 4.92 μB/f.u.
ΔE_f (raw): -195 kJ/mol of atoms


(5)
The following is a meta-GGA SCAN calculation of a PBEsol-optimized structure of LiSbRh, from Alexandria.

Cell: 3.3546 3.3546 8.2247 Å, 90.00 90.00 90.00°
Space group I4mm (No. 107)
Symmetry-distinct sites (fractional):
Li (0.0000, 0.0000, 0.0000) (multiplicity 2)
Sb (0.0000, 0.0000, 0.6765) (multiplicity 2)
Rh (0.0000, 0.0000, 0.3335) (multiplicity 2)

Output
Total magnetic moment: 0.00 μB/f.u.
ΔE_f (raw): -54 kJ/mol of atoms


(6)
The following is a meta-GGA SCAN calculation of a PBEsol-optimized structure of Ba2Pt, from Alexandria.

Cell: 4.2019 14.2870 7.5328 Å, 90.00 90.00 90.00°
Space group Cmc2_1 (No. 36)
Symmetry-distinct sites (fractional):
Ba (0.0000, 0.0056, 0.0000) (multiplicity 4)
Ba (0.0000, 0.2672, 0.8327) (multiplicity 4)
Pt (0.0000, 0.3831, 0.2188) (multiplicity 4)

Output
Total magnetic moment: 0.00 μB/f.u.
ΔH_f (0 K): -0.642 eV/atom